VASP calculation (PBE) on a relaxed structure of Li3Ag2BPt3.

Cell: 7.1918 7.1918 2.8269 Å, 90.00 90.00 120.00°
Space group P-62m (No. 189)
Asymmetric unit:
Li (0.0000, 0.3745, 0.0000) x3
Ag (0.3333, 0.6667, 0.5000) x2
B (0.0000, 0.0000, 0.0000) x1
Pt (0.0000, 0.7648, 0.5000) x3

VASP calculation (PBE) on a relaxed structure of MgNpP2.

Cell: 3.9857 3.9857 18.0048 Å, 90.00 90.00 120.00°
Space group R-3m (No. 166, hexagonal axes)
Asymmetric unit:
Mg (0.0000, 0.0000, 0.0000) x3
Np (0.0000, 0.0000, 0.5000) x3
P (0.0000, 0.0000, 0.2489) x6

no.,density (g/cm³),formation enthalpy at 0 K (eV/f.u.),raw total energy (eV per atom)
1,10.92,-3.8,-4.45
2,6.50,-2.6,-7.00